The following is a DFT calculation (GGA-PBE) of a relaxed CoP crystal.

Computed properties:
Energy of formation from the pure elements: -0.157 eV/atom
SG: P6_3mc (186)
Size of the total moment: 0.0 μB per cell
Final energy: -6.42 eV per atom

abc: 3.228 3.228 6.553
angles: 90.00 90.00 120.00
Fractional coordinates of all 4 atoms:
Co  0.333  0.667  0.711
Co  0.667  0.333  0.211
P  0.333  0.667  0.371
P  0.667  0.333  0.871